Entry a
Density functional theory data (PBE) for crystalline Na2HPb at its relaxed geometry.

Properties
Magnetic moment ... 0.0 Bohr magnetons per cell
Calculated volume ... 84.7 Å³ per cell
Crystal system ... tetragonal

POSCAR file:
```
Na2HPb
1.0
3.2211 0.0000 0.0000
0.0000 3.2211 0.0000
0.0000 0.0000 8.1631
Na H Pb
2 1 1
direct
0.0000 0.0000 0.1820
0.0000 0.0000 0.8180
0.5000 0.5000 0.0000
0.5000 0.5000 0.5000
```



Entry b
Density functional theory data (PBE) for crystalline Na2HPb at its relaxed geometry.

Properties
Magnetic moment ... 0.0 Bohr magnetons per cell
Calculated volume ... 190.8 Å³ per cell
Crystal system ... tetragonal

POSCAR file:
```
Na2HPb
1.0
-3.3104 3.3104 4.3516
3.3104 -3.3104 4.3516
3.3104 3.3104 -4.3516
Na H Pb
4 2 2
direct
0.3750 0.0282 0.1532
0.7782 0.6250 0.6532
0.8750 0.2218 0.8468
0.9718 0.1250 0.3468
0.0000 0.0000 0.0000
0.7500 0.2500 0.5000
0.2500 0.7500 0.5000
0.5000 0.5000 0.0000
```



Which is most stable? The ranking, best first, is entry a, entry b.



Entry a
Density functional theory data (PBE) for crystalline Na2SbHPb at its relaxed geometry.

Properties
Magnetic moment ... 0.0 Bohr magnetons per cell
Calculated volume ... 112.7 Å³ per cell
Crystal system ... tetragonal

POSCAR file:
```
Na2SbHPb
1.0
4.7687 0.0000 0.0000
0.0000 4.7687 0.0000
0.0000 0.0000 4.9542
Na Sb H Pb
2 1 1 1
direct
0.0000 0.5000 0.0000
0.5000 0.0000 0.0000
0.0000 0.0000 0.5000
0.5000 0.5000 0.0000
0.5000 0.5000 0.5000
```



Entry b
Density functional theory data (PBE) for crystalline Na2SbHPb at its relaxed geometry.

Properties
Magnetic moment ... 0.0 Bohr magnetons per cell
Calculated volume ... 111.0 Å³ per cell
Crystal system ... tetragonal

POSCAR file:
```
Na2SbHPb
1.0
4.8535 0.0000 0.0000
0.0000 4.8535 0.0000
0.0000 0.0000 4.7142
Na Sb H Pb
2 1 1 1
direct
0.0000 0.5000 0.0000
0.5000 0.0000 0.0000
0.0000 0.0000 0.5000
0.0000 0.0000 0.0000
0.5000 0.5000 0.5000
```



Which is most stable? The ranking, best first, is entry a, entry b.